SiPb: relaxed, PBE-GGA. Values from VASP.

Cell and atoms, written as Quantum ESPRESSO input:
```
&SYSTEM
  ibrav = 0, nat = 12, ntyp = 2
/
ATOMIC_SPECIES
Si 28.09 Si.upf
Pb 207.20 Pb.upf
CELL_PARAMETERS angstrom
7.7189 0.0000 0.0000
0.0000 7.7189 0.0000
0.0000 0.0000 7.7189
ATOMIC_POSITIONS crystal
Si 0.0000 0.2500 0.5000
Si 0.0000 0.7500 0.5000
Si 0.2500 0.5000 0.0000
Si 0.5000 0.0000 0.2500
Si 0.5000 0.0000 0.7500
Si 0.7500 0.5000 0.0000
Pb 0.0000 0.5000 0.2500
Pb 0.0000 0.5000 0.7500
Pb 0.2500 0.0000 0.5000
Pb 0.5000 0.2500 0.0000
Pb 0.5000 0.7500 0.0000
Pb 0.7500 0.0000 0.5000
```

Results
Calculated volume: 77 Å³/f.u.
Space-group type: No. 223
Formation energy from raw total energies: 58 kJ per mole of atoms